(1)
A relaxed structure of ZrMnBr. Source: the Alexandria database, functional GGA-PBE.

abc: 3.3606 3.3606 7.0800
angles: 90.00 90.00 120.00
Last column: magnetic moment on the atom in μB.
Sites, in units of the cell vectors:
Br 0.0000 0.0000 0.9549  0.02
Mn 0.6667 0.3333 0.3722  3.91
Zr 0.3333 0.6667 0.6730  -0.13

Output
* raw formation energy: -0.120 eV/atom

(2)
A relaxed structure of TbCdGaAu. Source: the Alexandria database, functional GGA-PBE.

abc: 4.9187 4.9187 4.9187
angles: 60.00 60.00 60.00
Sites, in units of the cell vectors:
Tb 0.2500 0.2500 0.2500
Au 0.5000 0.5000 0.5000
Ga 0.0000 0.0000 0.0000
Cd 0.7500 0.7500 0.7500

Output
* formation energy: -0.53 eV per atom

N(E_F), record by record: 0.94, 2.84 states/eV per cell
Spin magnetization, record by record: 4.03, 0.00 μB/cell